--- P ---
# Ti2AlC | the Alexandria database | PBE | relaxed
data_Ti2AlC
_chemical_formula_sum 'Ti6 Al3 C3'
_space_group_name_H-M_alt 'R -3 m'
_space_group_IT_number 166
_space_group_name_Hall '-R 3 2"'
_cell_length_a 3.0699
_cell_length_b 3.0699
_cell_length_c 20.6950
_cell_angle_alpha 90.00
_cell_angle_beta 90.00
_cell_angle_gamma 120.00
loop_
_atom_site_label
_atom_site_type_symbol
_atom_site_fract_x
_atom_site_fract_y
_atom_site_fract_z
Ti1 Ti 0.0000 0.0000 0.2221
Al1 Al 0.0000 0.0000 0.0000
C1 C 0.0000 0.0000 0.5000
# total magnetic moment: 0.00 μB per atom
# DOS(E_F): 3.5 states/eV/cell

--- Q ---
# Ti2AlC | the Alexandria database | PBE | relaxed
data_Ti2AlC
_chemical_formula_sum 'Ti6 Al3 C3'
_space_group_name_H-M_alt 'R 3 m'
_space_group_IT_number 160
_space_group_name_Hall 'R 3 -2"'
_cell_length_a 3.0623
_cell_length_b 3.0623
_cell_length_c 20.7117
_cell_angle_alpha 90.00
_cell_angle_beta 90.00
_cell_angle_gamma 120.00
loop_
_atom_site_label
_atom_site_type_symbol
_atom_site_fract_x
_atom_site_fract_y
_atom_site_fract_z
Ti1 Ti 0.0000 0.0000 0.0000
Ti2 Ti 0.0000 0.0000 0.2227
Al1 Al 0.0000 0.0000 0.7779
C1 C 0.0000 0.0000 0.6106
# total magnetic moment: 0.00 μB per atom
# DOS(E_F): 3.9 states/eV/cell

The structure with the least stability is P.

--- P ---
# TiAlC3 | the Alexandria database | PBE | relaxed
data_TiAlC3
_chemical_formula_sum 'Ti1 Al1 C3'
_space_group_name_H-M_alt 'P m -3 m'
_space_group_IT_number 221
_space_group_name_Hall '-P 4 2 3'
_cell_length_a 3.8234
_cell_length_b 3.8234
_cell_length_c 3.8234
_cell_angle_alpha 90.00
_cell_angle_beta 90.00
_cell_angle_gamma 90.00
loop_
_atom_site_label
_atom_site_type_symbol
_atom_site_fract_x
_atom_site_fract_y
_atom_site_fract_z
Ti1 Ti 0.0000 0.0000 0.0000
Al1 Al 0.5000 0.5000 0.5000
C1 C 0.0000 0.5000 0.5000
# total magnetic moment: 0.00 μB per atom
# DOS(E_F): 4.0 states/eV/cell

--- Q ---
# TiAlC3 | the Alexandria database | PBE | relaxed
data_TiAlC3
_chemical_formula_sum 'Ti1 Al1 C3'
_space_group_name_H-M_alt 'P m -3 m'
_space_group_IT_number 221
_space_group_name_Hall '-P 4 2 3'
_cell_length_a 4.0246
_cell_length_b 4.0246
_cell_length_c 4.0246
_cell_angle_alpha 90.00
_cell_angle_beta 90.00
_cell_angle_gamma 90.00
loop_
_atom_site_label
_atom_site_type_symbol
_atom_site_fract_x
_atom_site_fract_y
_atom_site_fract_z
Ti1 Ti 0.0000 0.0000 0.0000
Al1 Al 0.5000 0.5000 0.5000
C1 C 0.0000 0.0000 0.5000
# total magnetic moment: 0.00 μB per atom
# DOS(E_F): 2.7 states/eV/cell

The structure with the least stability is Q.

--- P ---
# AlTlC2 | the Alexandria database | PBE | relaxed
data_AlTlC2
_chemical_formula_sum 'Al4 Tl4 C8'
_space_group_name_H-M_alt 'F m -3 m'
_space_group_IT_number 225
_space_group_name_Hall '-F 4 2 3'
_cell_length_a 5.9716
_cell_length_b 5.9716
_cell_length_c 5.9716
_cell_angle_alpha 90.00
_cell_angle_beta 90.00
_cell_angle_gamma 90.00
loop_
_atom_site_label
_atom_site_type_symbol
_atom_site_fract_x
_atom_site_fract_y
_atom_site_fract_z
Al1 Al 0.0000 0.0000 0.0000
Tl1 Tl 0.0000 0.0000 0.5000
C1 C 0.2500 0.2500 0.2500
# total magnetic moment: 0.00 μB per atom
# DOS(E_F): 10.0 states/eV/cell

--- Q ---
# AlTlC2 | the Alexandria database | PBE | relaxed
data_AlTlC2
_chemical_formula_sum 'Al4 Tl4 C8'
_space_group_name_H-M_alt 'I -4 2 d'
_space_group_IT_number 122
_space_group_name_Hall 'I -4 2bw'
_cell_length_a 4.8298
_cell_length_b 4.8298
_cell_length_c 10.5510
_cell_angle_alpha 90.00
_cell_angle_beta 90.00
_cell_angle_gamma 90.00
loop_
_atom_site_label
_atom_site_type_symbol
_atom_site_fract_x
_atom_site_fract_y
_atom_site_fract_z
Al1 Al 0.0000 0.0000 0.0000
Tl1 Tl 0.0000 0.0000 0.5000
C1 C 0.1915 0.2500 0.1250
# total magnetic moment: 0.00 μB per atom
# DOS(E_F): 8.9 states/eV/cell

The structure with the least stability is P.